Run one
# Sm2Pd3 (GGA-PBE, relaxed)
# - total moment (μB per cell) = 0.00
# - crystal system = trigonal
data_Sm2Pd3
_space_group_name_H-M_alt 'R -3 m'
_space_group_IT_number 166
_space_group_name_Hall '-R 3 2"'
_cell_length_a 4.4888
_cell_length_b 4.4888
_cell_length_c 19.8664
_cell_angle_alpha 90.00
_cell_angle_beta 90.00
_cell_angle_gamma 120.00
loop_
_atom_site_label
_atom_site_fract_x
_atom_site_fract_y
_atom_site_fract_z
_atom_site_occupancy
Sm1 0.0000 0.0000 0.0899 1
Pd1 0.0000 0.0000 0.3517 1
Pd2 0.0000 0.0000 0.5000 1


Run two
# Sm2Pd3 (GGA-PBE, relaxed)
# - total moment (μB per cell) = 0.00
# - crystal system = cubic
data_Sm2Pd3
_space_group_name_H-M_alt 'I -4 3 d'
_space_group_IT_number 220
_space_group_name_Hall 'I -4bd 2c 3'
_cell_length_a 9.8061
_cell_length_b 9.8061
_cell_length_c 9.8061
_cell_angle_alpha 90.00
_cell_angle_beta 90.00
_cell_angle_gamma 90.00
loop_
_atom_site_label
_atom_site_fract_x
_atom_site_fract_y
_atom_site_fract_z
_atom_site_occupancy
Sm1 0.0358 0.4642 0.5358 1
Pd1 0.0000 0.2500 0.0116 1


Short version: run one is the most stable of them.


Run one
# SmSn3Pd (GGA-PBE, relaxed)
# - total moment (μB per cell) = 0.00
# - crystal system = orthorhombic
data_SmSn3Pd
_space_group_name_H-M_alt 'C m m m'
_space_group_IT_number 65
_space_group_name_Hall '-C 2 2'
_cell_length_a 4.5973
_cell_length_b 24.7594
_cell_length_c 4.4894
_cell_angle_alpha 90.00
_cell_angle_beta 90.00
_cell_angle_gamma 90.00
loop_
_atom_site_label
_atom_site_fract_x
_atom_site_fract_y
_atom_site_fract_z
_atom_site_occupancy
Sm1 0.0000 0.1676 0.0000 1
Sn1 0.0000 0.0584 0.5000 1
Sn2 0.0000 0.2822 0.5000 1
Sn3 0.0000 0.4422 0.0000 1
Pd1 0.0000 0.3856 0.5000 1


Run two
# SmSn3Pd (GGA-PBE, relaxed)
# - total moment (μB per cell) = 0.00
# - crystal system = orthorhombic
data_SmSn3Pd
_space_group_name_H-M_alt 'P m m n'
_space_group_IT_number 59
_cell_length_a 4.4384
_cell_length_b 7.3965
_cell_length_c 7.7227
_cell_angle_alpha 90.00
_cell_angle_beta 90.00
_cell_angle_gamma 90.00
loop_
_space_group_symop_operation_xyz
'x,y,z'
'-x,-y,-z'
'-x+1/2,-y+1/2,z'
'x+1/2,y+1/2,-z'
'x+1/2,-y,-z'
'-x+1/2,y,z'
'-x,y+1/2,-z'
'x,-y+1/2,z'
loop_
_atom_site_label
_atom_site_fract_x
_atom_site_fract_y
_atom_site_fract_z
_atom_site_occupancy
Sm1 0.2500 0.2500 0.2434 1
Sn1 0.2500 0.0415 0.6716 1
Sn2 0.2500 0.7500 0.0697 1
Pd1 0.2500 0.7500 0.4243 1


Short version: run one is the most stable of them.


Run one
# Sm2Sn2Pd (GGA-PBE, relaxed)
# - total moment (μB per cell) = 0.00
# - crystal system = monoclinic
data_Sm2Sn2Pd
_space_group_name_H-M_alt 'C 1 2/m 1'
_space_group_IT_number 12
_space_group_name_Hall '-C 2y'
_cell_length_a 11.2309
_cell_length_b 4.6178
_cell_length_c 11.0997
_cell_angle_alpha 90.00
_cell_angle_beta 116.73
_cell_angle_gamma 90.00
loop_
_atom_site_label
_atom_site_fract_x
_atom_site_fract_y
_atom_site_fract_z
_atom_site_occupancy
Sm1 0.0073 0.0000 0.3316 1
Sm2 0.1821 0.0000 0.1125 1
Sn1 0.0304 0.5000 0.8819 1
Sn2 0.1501 0.5000 0.5632 1
Pd1 0.2169 0.5000 0.3399 1


Run two
# Sm2Sn2Pd (GGA-PBE, relaxed)
# - total moment (μB per cell) = 0.00
# - crystal system = orthorhombic
data_Sm2Sn2Pd
_space_group_name_H-M_alt 'I b a m'
_space_group_IT_number 72
_space_group_name_Hall '-I 2 2c'
_cell_length_a 6.6993
_cell_length_b 13.0932
_cell_length_c 6.4291
_cell_angle_alpha 90.00
_cell_angle_beta 90.00
_cell_angle_gamma 90.00
loop_
_atom_site_label
_atom_site_fract_x
_atom_site_fract_y
_atom_site_fract_z
_atom_site_occupancy
Sm1 0.2053 0.1298 0.0000 1
Sn1 0.2252 0.3751 0.0000 1
Pd1 0.0000 0.5000 0.2500 1


Short version: run one is the most stable of them.


Run one
# Sm2Sn5Pd3 (GGA-PBE, relaxed)
# - total moment (μB per cell) = 0.00
# - crystal system = orthorhombic
data_Sm2Sn5Pd3
_space_group_name_H-M_alt 'C m c 21'
_space_group_IT_number 36
_space_group_name_Hall 'C 2c -2'
_cell_length_a 4.5780
_cell_length_b 26.7183
_cell_length_c 7.4304
_cell_angle_alpha 90.00
_cell_angle_beta 90.00
_cell_angle_gamma 90.00
loop_
_atom_site_label
_atom_site_fract_x
_atom_site_fract_y
_atom_site_fract_z
_atom_site_occupancy
Sm1 0.0000 0.0234 0.0000 1
Sm2 0.0000 0.3269 0.0130 1
Sn1 0.0000 0.0968 0.3674 1
Sn2 0.0000 0.2042 0.8145 1
Sn3 0.0000 0.2112 0.2368 1
Sn4 0.0000 0.3806 0.4943 1
Sn5 0.0000 0.4518 0.1636 1
Pd1 0.0000 0.1055 0.7385 1
Pd2 0.0000 0.2776 0.5343 1
Pd3 0.0000 0.4495 0.7807 1


Run two
# Sm2Sn5Pd3 (GGA-PBE, relaxed)
# - total moment (μB per cell) = 0.00
# - crystal system = orthorhombic
data_Sm2Sn5Pd3
_space_group_name_H-M_alt 'I b a m'
_space_group_IT_number 72
_space_group_name_Hall '-I 2 2c'
_cell_length_a 10.9417
_cell_length_b 12.9127
_cell_length_c 6.5725
_cell_angle_alpha 90.00
_cell_angle_beta 90.00
_cell_angle_gamma 90.00
loop_
_atom_site_label
_atom_site_fract_x
_atom_site_fract_y
_atom_site_fract_z
_atom_site_occupancy
Sm1 0.2279 0.1443 0.0000 1
Sn1 0.0000 0.0000 0.2500 1
Sn2 0.0000 0.2789 0.2500 1
Sn3 0.1693 0.4113 0.0000 1
Pd1 0.0000 0.5000 0.2500 1
Pd2 0.1046 0.1429 0.5000 1


Short version: run one is the most stable of them.


Run one
# SmSnPd4 (GGA-PBE, relaxed)
# - total moment (μB per cell) = 0.00
# - crystal system = tetragonal
data_SmSnPd4
_space_group_name_H-M_alt 'P 42/n m c'
_space_group_IT_number 137
_cell_length_a 5.4316
_cell_length_b 5.4316
_cell_length_c 9.0461
_cell_angle_alpha 90.00
_cell_angle_beta 90.00
_cell_angle_gamma 90.00
loop_
_space_group_symop_operation_xyz
'x,y,z'
'-x,-y,-z'
'-y+1/2,x,z+1/2'
'y+1/2,-x,-z+1/2'
'-x+1/2,-y+1/2,z'
'x+1/2,y+1/2,-z'
'y,-x+1/2,z+1/2'
'-y,x+1/2,-z+1/2'
'x+1/2,-y,-z'
'-x+1/2,y,z'
'-y,-x,-z+1/2'
'y,x,z+1/2'
'-x,y+1/2,-z'
'x,-y+1/2,z'
'y+1/2,x+1/2,-z+1/2'
'-y+1/2,-x+1/2,z+1/2'
loop_
_atom_site_label
_atom_site_fract_x
_atom_site_fract_y
_atom_site_fract_z
_atom_site_occupancy
Sm1 0.2500 0.7500 0.2500 1
Sn1 0.2500 0.7500 0.7500 1
Pd1 0.0155 0.2500 0.0136 1


Run two
# SmSnPd4 (GGA-PBE, relaxed)
# - total moment (μB per cell) = 0.00
# - crystal system = cubic
data_SmSnPd4
_space_group_name_H-M_alt 'F -4 3 m'
_space_group_IT_number 216
_space_group_name_Hall 'F -4 2 3'
_cell_length_a 7.6700
_cell_length_b 7.6700
_cell_length_c 7.6700
_cell_angle_alpha 90.00
_cell_angle_beta 90.00
_cell_angle_gamma 90.00
loop_
_atom_site_label
_atom_site_fract_x
_atom_site_fract_y
_atom_site_fract_z
_atom_site_occupancy
Sm1 0.0000 0.0000 0.0000 1
Sn1 0.2500 0.2500 0.2500 1
Pd1 0.1247 0.1247 0.6247 1


Run three
# SmSnPd4 (GGA-PBE, relaxed)
# - total moment (μB per cell) = 0.00
# - crystal system = monoclinic
data_SmSnPd4
_space_group_name_H-M_alt 'C 1 2/m 1'
_space_group_IT_number 12
_space_group_name_Hall '-C 2y'
_cell_length_a 9.6934
_cell_length_b 3.6307
_cell_length_c 6.7638
_cell_angle_alpha 90.00
_cell_angle_beta 110.96
_cell_angle_gamma 90.00
loop_
_atom_site_label
_atom_site_fract_x
_atom_site_fract_y
_atom_site_fract_z
_atom_site_occupancy
Sm1 0.0000 0.0000 0.0000 1
Sn1 0.0000 0.0000 0.5000 1
Pd1 0.1584 0.5000 0.3488 1
Pd2 0.1714 0.5000 0.8156 1


Short version: run three is the most stable of them.


Run one
# SmSn2Pd4 (GGA-PBE, relaxed)
# - total moment (μB per cell) = 0.00
# - crystal system = tetragonal
data_SmSn2Pd4
_space_group_name_H-M_alt 'P 42/m n m'
_space_group_IT_number 136
_space_group_name_Hall '-P 4n 2n'
_cell_length_a 8.0590
_cell_length_b 8.0590
_cell_length_c 4.2739
_cell_angle_alpha 90.00
_cell_angle_beta 90.00
_cell_angle_gamma 90.00
loop_
_atom_site_label
_atom_site_fract_x
_atom_site_fract_y
_atom_site_fract_z
_atom_site_occupancy
Sm1 0.0000 0.0000 0.0000 1
Sn1 0.2163 0.2163 0.5000 1
Pd1 0.0922 0.6524 0.5000 1


Run two
# SmSn2Pd4 (GGA-PBE, relaxed)
# - total moment (μB per cell) = 0.00
# - crystal system = trigonal
data_SmSn2Pd4
_space_group_name_H-M_alt 'R -3 m'
_space_group_IT_number 166
_space_group_name_Hall '-R 3 2"'
_cell_length_a 4.5482
_cell_length_b 4.5482
_cell_length_c 24.2625
_cell_angle_alpha 90.00
_cell_angle_beta 90.00
_cell_angle_gamma 120.00
loop_
_atom_site_label
_atom_site_fract_x
_atom_site_fract_y
_atom_site_fract_z
_atom_site_occupancy
Sm1 0.0000 0.0000 0.0000 1
Sn1 0.0000 0.0000 0.2416 1
Pd1 0.0000 0.0000 0.1308 1
Pd2 0.0000 0.0000 0.4073 1


Short version: run one is the most stable of them.